Here is an optimized crystal structure of NaLa2FeOs from the Alexandria database. Energies are from PBE.

```
NaLa2FeOs
1.0
-3.551 4.064 -0.453
-3.442 -2.985 0.197
-0.121 0.495 5.392
La Fe Na Os
2 1 1 1
direct
0.000 0.000 0.500
0.500 0.000 0.000
0.500 0.500 0.500
0.000 0.000 0.000
0.000 0.500 0.000
```

Properties
Its crystal system is tetragonal. Its space group is P4/mmm. For the magnetization, the calculation gives 0.4 μB/cell. For the energy, the calculation gives -0.15983 hartree per atom. The formation energy comes out at 1824 meV/atom.